# 1
DFT (PBEsol) results for a relaxed structure of CeLuS3.

Properties
* raw total energy: -6.986 eV/atom
* DOS at the Fermi energy: 1.27 states/eV/atom
* formation energy without anion corrections: -2.062 eV per atom

Cell: 3.7961 12.3383 9.3059 Å, 90.00 90.00 90.00°
Space group Cmcm (No. 63)
Symmetry-distinct sites (fractional):
Ce (0.0000, 0.2493, 0.2500) (multiplicity 4)
Lu (0.0000, 0.5000, 0.0000) (multiplicity 4)
S (0.0000, 0.1427, 0.5646) (multiplicity 8)
S (0.0000, 0.4123, 0.7500) (multiplicity 4)



# 2
DFT (PBEsol) results for a relaxed structure of K2VAgSe4.

Properties
* raw total energy: -4.648 eV/atom
* formation energy without anion corrections: -0.821 eV per atom

Cell: 5.8711 13.1327 22.8334 Å, 90.00 90.00 90.00°
Space group Fddd (No. 70, origin choice 2)
Symmetry-distinct sites (fractional):
K (0.1250, 0.1250, 0.3075) (multiplicity 16)
V (0.1250, 0.1250, 0.1250) (multiplicity 8)
Ag (0.1250, 0.1250, 0.6250) (multiplicity 8)
Se (0.0867, 0.2701, 0.4348) (multiplicity 32)



# 3
DFT (PBEsol) results for a relaxed structure of KCrAg2Te.

Properties
* raw total energy: -3.430 eV/atom
* DOS at the Fermi energy: 0.43 states/eV/atom
* formation energy without anion corrections: 0.875 eV per atom

Cell: 5.0126 5.0126 5.5955 Å, 90.00 90.00 90.00°
Space group P4/mmm (No. 123)
Symmetry-distinct sites (fractional):
K (0.0000, 0.0000, 0.0000) (multiplicity 1)
Cr (0.0000, 0.0000, 0.5000) (multiplicity 1)
Ag (0.0000, 0.5000, 0.5000) (multiplicity 2)
Te (0.5000, 0.5000, 0.0000) (multiplicity 1)



# 4
DFT (PBEsol) results for a relaxed structure of Cd2CoTc.

Properties
* E_form: 0.269 eV per atom
* raw total energy: -5.081 eV/atom
* DOS at the Fermi energy: 0.84 states/eV/atom
* distance to the lowest polymorph of the same formula: 0.00 kJ/mol of atoms

Cell: 2.7865 2.7865 27.9918 Å, 90.00 90.00 120.00°
Space group R3m (No. 160, hexagonal axes)
Symmetry-distinct sites (fractional):
Cd (0.0000, 0.0000, 0.0000) (multiplicity 3)
Cd (0.0000, 0.0000, 0.2344) (multiplicity 3)
Co (0.0000, 0.0000, 0.7470) (multiplicity 3)
Tc (0.0000, 0.0000, 0.4797) (multiplicity 3)



# 5
DFT (PBEsol) results for a relaxed structure of ReSiAg2P.

Properties
* raw total energy: -5.291 eV/atom
* DOS at the Fermi energy: 0.81 states/eV/atom
* formation energy without anion corrections: 1.008 eV per atom

Cell: 4.6032 4.6032 4.4638 Å, 90.00 90.00 90.00°
Space group P4/mmm (No. 123)
Symmetry-distinct sites (fractional):
Re (0.0000, 0.0000, 0.0000) (multiplicity 1)
Si (0.5000, 0.5000, 0.0000) (multiplicity 1)
Ag (0.0000, 0.5000, 0.5000) (multiplicity 2)
P (0.0000, 0.0000, 0.5000) (multiplicity 1)



# 6
DFT (PBEsol) results for a relaxed structure of Ca2RhAu.

Properties
* E_form: -0.219 eV per atom
* raw total energy: -4.302 eV/atom
* DOS at the Fermi energy: 0.41 states/eV/atom

Cell: 3.6365 3.6365 23.8983 Å, 90.00 90.00 120.00°
Space group R-3m (No. 166, hexagonal axes)
Symmetry-distinct sites (fractional):
Ca (0.0000, 0.0000, 0.2435) (multiplicity 6)
Rh (0.0000, 0.0000, 0.5000) (multiplicity 3)
Au (0.0000, 0.0000, 0.0000) (multiplicity 3)



# 7
DFT (PBEsol) results for a relaxed structure of HfScInSb2.

Properties
* raw total energy: -5.266 eV/atom
* DOS at the Fermi energy: 0.88 states/eV/atom
* formation energy without anion corrections: 0.575 eV per atom

Cell: 5.3114 5.3114 5.1262 Å, 90.00 90.00 90.00°
Space group P4/mmm (No. 123)
Symmetry-distinct sites (fractional):
Hf (0.0000, 0.0000, 0.0000) (multiplicity 1)
Sc (0.0000, 0.0000, 0.5000) (multiplicity 1)
In (0.5000, 0.5000, 0.0000) (multiplicity 1)
Sb (0.0000, 0.5000, 0.5000) (multiplicity 2)



# 8
DFT (PBEsol) results for a relaxed structure of ScMn2Fe.

Properties
* E_form: 0.286 eV per atom
* raw total energy: -8.487 eV/atom
* DOS at the Fermi energy: 1.37 states/eV/atom
* distance to the lowest polymorph of the same formula: 6.66 kJ/mol of atoms

Cell: 4.8972 8.2789 2.5544 Å, 90.00 110.01 90.00°
Space group C2/m (No. 12)
Symmetry-distinct sites (fractional):
Sc (0.0000, 0.0000, 0.0000) (multiplicity 2)
Mn (0.2500, 0.2500, 0.5000) (multiplicity 4)
Fe (0.0000, 0.5000, 0.0000) (multiplicity 2)



# 9
DFT (PBEsol) results for a relaxed structure of ScGeSb3.

Properties
* raw total energy: -4.604 eV/atom
* DOS at the Fermi energy: 0.70 states/eV/atom
* formation energy without anion corrections: 0.439 eV per atom

Cell: 5.3496 5.3496 5.3496 Å, 90.00 90.00 90.00°
Space group Pm-3m (No. 221)
Symmetry-distinct sites (fractional):
Sc (0.0000, 0.0000, 0.0000) (multiplicity 1)
Ge (0.5000, 0.5000, 0.5000) (multiplicity 1)
Sb (0.0000, 0.0000, 0.5000) (multiplicity 3)



# 10
DFT (PBEsol) results for a relaxed structure of Rb2MnCl6.

Properties
* raw total energy: -4.069 eV/atom
* formation energy without anion corrections: -1.418 eV per atom

Cell: 9.7807 9.7807 9.7807 Å, 90.00 90.00 90.00°
Space group Fm-3m (No. 225)
Symmetry-distinct sites (fractional):
Rb (0.2500, 0.2500, 0.2500) (multiplicity 8)
Mn (0.0000, 0.0000, 0.0000) (multiplicity 4)
Cl (0.0000, 0.0000, 0.2311) (multiplicity 24)



# 11
DFT (PBEsol) results for a relaxed structure of Sr2BMoPd.

Properties
* E_form: 0.543 eV per atom
* raw total energy: -5.142 eV/atom
* DOS at the Fermi energy: 0.71 states/eV/atom

Cell: 5.4221 5.4221 4.1092 Å, 90.00 90.00 90.00°
Space group P4/mmm (No. 123)
Symmetry-distinct sites (fractional):
Sr (0.0000, 0.5000, 0.0000) (multiplicity 2)
B (0.0000, 0.0000, 0.0000) (multiplicity 1)
Mo (0.0000, 0.0000, 0.5000) (multiplicity 1)
Pd (0.5000, 0.5000, 0.5000) (multiplicity 1)



# 12
DFT (PBEsol) results for a relaxed structure of TaCu2As.

Properties
* E_form: 0.067 eV per atom
* raw total energy: -6.515 eV/atom
* DOS at the Fermi energy: 0.55 states/eV/atom

Cell: 2.8357 4.1391 5.0216 Å, 90.00 102.99 90.00°
Space group P2/m (No. 10)
Symmetry-distinct sites (fractional):
Ta (0.0000, 0.0000, 0.0000) (multiplicity 1)
Cu (0.4084, 0.5000, 0.7519) (multiplicity 2)
As (0.5000, 0.0000, 0.5000) (multiplicity 1)



# 13
DFT (PBEsol) results for a relaxed structure of TaCd2Te.

Properties
* raw total energy: -4.237 eV/atom
* DOS at the Fermi energy: 0.61 states/eV/atom
* formation energy without anion corrections: 0.381 eV per atom

Cell: 4.3213 4.3213 8.7751 Å, 90.00 90.00 90.00°
Space group I-4m2 (No. 119)
Symmetry-distinct sites (fractional):
Ta (0.0000, 0.0000, 0.0000) (multiplicity 2)
Cd (0.0000, 0.0000, 0.5000) (multiplicity 2)
Cd (0.0000, 0.5000, 0.7500) (multiplicity 2)
Te (0.0000, 0.5000, 0.2500) (multiplicity 2)



# 14
DFT (PBEsol) results for a relaxed structure of RbSc3S.

Properties
* raw total energy: -3.539 eV/atom
* DOS at the Fermi energy: 1.14 states/eV/atom
* formation energy without anion corrections: 1.506 eV per atom

Cell: 4.9344 4.9344 4.9344 Å, 90.00 90.00 90.00°
Space group Pm-3m (No. 221)
Symmetry-distinct sites (fractional):
Rb (0.0000, 0.0000, 0.0000) (multiplicity 1)
Sc (0.0000, 0.0000, 0.5000) (multiplicity 3)
S (0.5000, 0.5000, 0.5000) (multiplicity 1)



# 15
DFT (PBEsol) results for a relaxed structure of Cd2Te2I.

Properties
* raw total energy: -2.383 eV/atom
* DOS at the Fermi energy: 0.89 states/eV/atom
* formation energy without anion corrections: -0.140 eV per atom

Cell: 4.4681 4.4681 14.9973 Å, 90.00 90.00 90.00°
Space group I4/mmm (No. 139)
Symmetry-distinct sites (fractional):
Cd (0.0000, 0.5000, 0.2500) (multiplicity 4)
Te (0.0000, 0.0000, 0.1274) (multiplicity 4)
I (0.0000, 0.0000, 0.5000) (multiplicity 2)



# 16
DFT (PBEsol) results for a relaxed structure of HgSeCl2.

Properties
* raw total energy: -2.141 eV/atom
* DOS at the Fermi energy: 0.00 states/eV/atom
* distance to the lowest polymorph of the same formula: 9.68 kJ/mol of atoms
* formation energy without anion corrections: -0.033 eV per atom

Cell: 3.4104 6.6182 9.2090 Å, 90.00 90.00 90.00°
Space group Immm (No. 71)
Symmetry-distinct sites (fractional):
Hg (0.0000, 0.0000, 0.0000) (multiplicity 2)
Se (0.0000, 0.0000, 0.5000) (multiplicity 2)
Cl (0.0000, 0.5000, 0.1925) (multiplicity 4)



# 17
DFT (PBEsol) results for a relaxed structure of Pm3Cd.

Properties
* E_form: -0.117 eV per atom
* raw total energy: -4.269 eV/atom
* DOS at the Fermi energy: 1.32 states/eV/atom

Cell: 6.9755 6.9755 5.4173 Å, 90.00 90.00 120.00°
Space group P6_3/mmc (No. 194)
Symmetry-distinct sites (fractional):
Pm (0.1749, 0.3497, 0.2500) (multiplicity 6)
Cd (0.3333, 0.6667, 0.7500) (multiplicity 2)



# 18
DFT (PBEsol) results for a relaxed structure of AlPCl2.

Properties
* raw total energy: -3.491 eV/atom
* DOS at the Fermi energy: 0.32 states/eV/atom
* distance to the lowest polymorph of the same formula: 16.07 kJ/mol of atoms
* formation energy without anion corrections: -0.016 eV per atom

Cell: 5.8194 6.1371 8.3361 Å, 90.00 90.00 90.00°
Space group Fmmm (No. 69)
Symmetry-distinct sites (fractional):
Al (0.0000, 0.0000, 0.0000) (multiplicity 4)
P (0.0000, 0.0000, 0.5000) (multiplicity 4)
Cl (0.0000, 0.2500, 0.2500) (multiplicity 8)



# 19
DFT (PBEsol) results for a relaxed structure of AlReB2.

Properties
* E_form: 0.734 eV per atom
* raw total energy: -7.131 eV/atom
* DOS at the Fermi energy: 0.25 states/eV/atom

Cell: 4.9949 4.9949 8.9984 Å, 90.00 90.00 90.00°
Space group I-42d (No. 122)
Symmetry-distinct sites (fractional):
Al (0.0000, 0.0000, 0.0000) (multiplicity 4)
Re (0.0000, 0.0000, 0.5000) (multiplicity 4)
B (0.2224, 0.2500, 0.6250) (multiplicity 8)



# 20
DFT (PBEsol) results for a relaxed structure of ZrBiP2Cl.

Properties
* raw total energy: -4.540 eV/atom
* DOS at the Fermi energy: 1.00 states/eV/atom
* formation energy without anion corrections: 0.853 eV per atom

Cell: 5.1465 5.1465 4.9643 Å, 90.00 90.00 90.00°
Space group P4/mmm (No. 123)
Symmetry-distinct sites (fractional):
Zr (0.0000, 0.0000, 0.0000) (multiplicity 1)
Bi (0.5000, 0.5000, 0.5000) (multiplicity 1)
P (0.0000, 0.5000, 0.5000) (multiplicity 2)
Cl (0.5000, 0.5000, 0.0000) (multiplicity 1)